Version P
# Pr7Sm2Y2 PBE optimized geometry
# V: 789.4 Å³ per cell
# D(E_F): 33.32 states/eV/cell
data_Pr7Sm2Y2
_chemical_formula_sum 'Pr14 Sm4 Y4'
_cell_length_a 10.137
_cell_length_b 9.608
_cell_length_c 8.412
_cell_angle_alpha 90.00
_cell_angle_beta 105.52
_cell_angle_gamma 90.00
_symmetry_space_group_name_H-M 'C 1 2/m 1'
_symmetry_Int_Tables_number 12
loop_
_symmetry_equiv_pos_as_xyz
'x,y,z'
'-x,-y,-z'
'-x,y,-z'
'x,-y,z'
'x+1/2,y+1/2,z'
'-x+1/2,-y+1/2,-z'
'-x+1/2,y+1/2,-z'
'x+1/2,-y+1/2,z'
loop_
_atom_site_label
_atom_site_type_symbol
_atom_site_fract_x
_atom_site_fract_y
_atom_site_fract_z
Pr1 Pr 0.000 0.000 0.000
Pr2 Pr 0.200 0.297 0.177
Pr3 Pr 0.219 0.500 0.528
Sm1 Sm 0.080 0.500 0.823
Y1 Y 0.000 0.208 0.500

Version Q
# Pr7Sm2Y2 PBE optimized geometry
# V: 780.3 Å³ per cell
# D(E_F): 32.36 states/eV/cell
data_Pr7Sm2Y2
_chemical_formula_sum 'Pr14 Sm4 Y4'
_cell_length_a 8.627
_cell_length_b 11.167
_cell_length_c 8.422
_cell_angle_alpha 90.00
_cell_angle_beta 105.88
_cell_angle_gamma 90.00
_symmetry_space_group_name_H-M 'C 1 2/m 1'
_symmetry_Int_Tables_number 12
loop_
_symmetry_equiv_pos_as_xyz
'x,y,z'
'-x,-y,-z'
'-x,y,-z'
'x,-y,z'
'x+1/2,y+1/2,z'
'-x+1/2,-y+1/2,-z'
'-x+1/2,y+1/2,-z'
'x+1/2,-y+1/2,z'
loop_
_atom_site_label
_atom_site_type_symbol
_atom_site_fract_x
_atom_site_fract_y
_atom_site_fract_z
Pr1 Pr 0.000 0.000 0.000
Pr2 Pr 0.072 0.500 0.814
Pr3 Pr 0.200 0.294 0.169
Sm1 Sm 0.000 0.282 0.500
Y1 Y 0.192 0.000 0.469

Most favorable structure: version Q. The second most favorable one is 27 meV per atom above it.